Record 1
Entry from the Open Quantum Materials Database: Ga2CuSb after structural relaxation (PBE).

Cell and atoms, written as POSCAR:
```
Ga2CuSb
1.0
-4.573 1.126 0.958
-3.229 0.166 -3.555
-3.417 -3.366 -0.302
Cu Ga Sb
1 2 1
Direct
0.250 0.250 0.250
0.000 0.000 0.000
0.750 0.750 0.750
0.500 0.500 0.500
```

- DFT total energy (eV per atom) = -3.3038
- space-group type = F-43m (216)
- calculated volume (A^3/atom) = 19.62

---

Record 2
Entry from the Open Quantum Materials Database: LuMg2Co after structural relaxation (PBE).

Cell and atoms, written as POSCAR:
```
LuMg2Co
1.0
0.000 3.350 3.350
3.350 0.000 3.350
3.350 3.350 0.000
Co Lu Mg
1 1 2
Direct
0.250 0.250 0.250
0.500 0.500 0.500
0.000 0.000 0.000
0.750 0.750 0.750
```

- DFT total energy (eV per atom) = -3.5922
- space-group type = F-43m (216)
- calculated volume (A^3/atom) = 18.80
- magnetization (μB per cell) = 0.441

---

Record 3
Entry from the Open Quantum Materials Database: CsMgSbPd after structural relaxation (PBE).

Cell and atoms, written as POSCAR:
```
CsMgSbPd
1.0
4.849 1.916 1.587
0.355 4.900 2.360
1.172 0.390 5.309
Cs Mg Pd Sb
1 1 1 1
Direct
0.250 0.250 0.250
0.750 0.750 0.750
0.500 0.500 0.500
0.000 0.000 0.000
```

- energy above the most stable polymorph in this dataset (eV per atom) = 0.133
- space-group type = F-43m (216)
- calculated volume (A^3/atom) = 28.62

---

Record 4
Entry from the Open Quantum Materials Database: BeTlFe after structural relaxation (PBE).

Cell and atoms, written as POSCAR:
```
BeTlFe
1.0
0.000 2.867 2.867
2.867 0.000 2.867
2.867 2.867 0.000
Be Fe Tl
1 1 1
Direct
0.000 0.000 0.000
0.250 0.250 0.250
0.750 0.750 0.750
```

- energy above the most stable polymorph in this dataset (eV per atom) = 0.000
- space-group type = F-43m (216)
- calculated volume (A^3/atom) = 15.72
- magnetization (μB per cell) = 2.398